Density functional theory data (PBE) for an optimized crystal structure of Al2OsRu.

Unit cell a=4.258 b=4.258 c=3.011 alpha=90.00 beta=90.00 gamma=90.00
Space group P4/mmm (No. 123)
One atom of each set of equivalent atoms:
Al  0.000  0.500  0.000 (multiplicity 2)
Os  0.000  0.000  0.500 (multiplicity 1)
Ru  0.500  0.500  0.500 (multiplicity 1)

Output
As for the mass density: 10.5 Mg/m³. The value obtained for the energy of formation is -527 meV per atom. As for the volume: 54.59 Å³/cell.

=====

Density functional theory data (PBE) for an optimized crystal structure of La2PuCo.

Unit cell a=3.8492 b=3.8492 c=27.6969 alpha=90.00 beta=90.00 gamma=120.00
Space group R3m (No. 160, hexagonal axes)
One atom of each set of equivalent atoms:
La  0.0000  0.0000  0.0000 (multiplicity 3)
La  0.0000  0.0000  0.2163 (multiplicity 3)
Pu  0.0000  0.0000  0.7736 (multiplicity 3)
Co  0.0000  0.0000  0.6089 (multiplicity 3)

Output
As for the mass density: 8.1 Mg/m³. The value obtained for the energy of formation is 133 meV per atom. The offset from the most stable computed form is 0.000 eV/atom. As for the volume: 355.38 Å³/cell.